A plane-wave DFT calculation with PBE was carried out for a relaxed LiV2Pt2 crystal.

a = 7.582 Å, b = 7.582 Å, c = 2.711 Å
α = 90.00°, β = 90.00°, γ = 90.00°
Sites, in units of the cell vectors:
V  0.161  0.661  0.500
V  0.661  0.839  0.500
V  0.839  0.339  0.500
V  0.339  0.161  0.500
Pt  0.366  0.866  0.000
Pt  0.866  0.634  0.000
Pt  0.634  0.134  0.000
Pt  0.134  0.366  0.000
Li  0.000  0.000  0.000
Li  0.500  0.500  0.000

## Properties
Its symmetry is P4/mbm, No. 127. Its energy of formation is -0.365 eV/atom. As for the density of states at the Fermi level: 7.0 states/eV per cell. For the excess energy over the best structure of this formula in the dataset, the calculation gives 0.17 eV per formula unit.